VASP calculation (PBE) on an optimized crystal structure of CaMn.

a = 7.9200 Å, b = 7.9200 Å, c = 7.9200 Å
α = 93.69°, β = 93.69°, γ = 150.61°
Last column: nearest neighbours and their distance in Å.
Atoms (fractional coordinates):
Ca  0.0000  0.2582  0.2582  6 Mn 2.99-3.17
Ca  0.0000  0.7418  0.7418  6 Mn 2.99-3.17
Ca  0.2582  0.0000  0.2582  6 Mn 2.99-3.17
Ca  0.7418  0.0000  0.7418  6 Mn 2.99-3.17
Mn  0.2758  0.2758  0.5516  2 Mn 2.16
Mn  0.2758  0.7242  0.0000  2 Mn 2.16
Mn  0.7242  0.2758  0.0000  2 Mn 2.16
Mn  0.7242  0.7242  0.4484  2 Mn 2.16

- M_tot: 1.085 μB/atom
- Symmetry: No. 139
- Energy: -4.959 eV/atom



VASP calculation (PBE) on an optimized crystal structure of CaMn3.

a = 3.3695 Å, b = 3.3695 Å, c = 7.7164 Å
α = 90.00°, β = 90.00°, γ = 120.00°
Last column: nearest neighbours and their distance in Å.
Atoms (fractional coordinates):
Ca  0.0000  0.0000  0.0000  6 Mn 3.14, 6 Ca 3.37
Mn  0.0000  0.0000  0.5000  6 Mn 2.39
Mn  0.6667  0.3333  0.3196  3 Mn 2.39
Mn  0.6667  0.3333  0.6804  3 Mn 2.39

- M_tot: 0.876 μB/atom
- Symmetry: No. 187
- Energy: -6.760 eV/atom



VASP calculation (PBE) on an optimized crystal structure of CaMn2.

a = 8.4345 Å, b = 8.4345 Å, c = 4.0510 Å
α = 90.00°, β = 90.00°, γ = 153.21°
Last column: nearest neighbours and their distance in Å.
Atoms (fractional coordinates):
Ca  0.0994  0.9006  0.7500  8 Mn 3.14-3.20
Ca  0.9006  0.0994  0.2500  8 Mn 3.14-3.20
Mn  0.2501  0.7499  0.2500  4 Mn 2.24-2.30
Mn  0.3164  0.6836  0.7500  4 Mn 2.24-2.30
Mn  0.6836  0.3164  0.2500  4 Mn 2.24-2.30
Mn  0.7499  0.2501  0.7500  4 Mn 2.24-2.30

- M_tot: 0.164 μB/atom
- Symmetry: No. 63
- Energy: -6.454 eV/atom



VASP calculation (PBE) on an optimized crystal structure of CaMn.

a = 8.6459 Å, b = 8.6459 Å, c = 8.6459 Å
α = 90.00°, β = 90.00°, γ = 90.00°
Last column: nearest neighbours and their distance in Å.
Atoms (fractional coordinates):
Ca  0.0000  0.2500  0.5000  4 Mn 3.06
Ca  0.0000  0.7500  0.5000  4 Mn 3.06
Ca  0.2500  0.5000  0.0000  4 Mn 3.06
Ca  0.5000  0.0000  0.2500  4 Mn 3.06
Ca  0.5000  0.0000  0.7500  4 Mn 3.06
Ca  0.7500  0.5000  0.0000  4 Mn 3.06
Mn  0.0000  0.5000  0.2500  4 Ca 3.06
Mn  0.0000  0.5000  0.7500  4 Ca 3.06
Mn  0.2500  0.0000  0.5000  4 Ca 3.06
Mn  0.5000  0.2500  0.0000  4 Ca 3.06
Mn  0.5000  0.7500  0.0000  4 Ca 3.06
Mn  0.7500  0.0000  0.5000  4 Ca 3.06

- M_tot: 2.149 μB/atom
- Symmetry: No. 223
- Energy: -3.954 eV/atom